# NaNiCSO7

Crystalline NaNiCSO7 at its relaxed geometry (PBE+U, Alexandria via LeMat-Bulk).

It has space group P2_1 (No. 4), with a = 5.1286 Å, b = 6.4935 Å, c = 9.2531 Å, α = 90.00°, β = 91.51° and γ = 90.00°. The inequivalent atoms are Na at (0.2364, 0.0000, 0.2613), Ni at (0.2159, 0.2037, 0.8559), C at (0.2849, 0.2122, 0.5928), S at (0.2819, 0.7109, 0.9269), O at (0.0557, 0.2173, 0.6487), O at (0.1530, 0.7194, 0.0690), O at (0.1976, 0.5263, 0.8423), O at (0.2161, 0.8908, 0.8363), O at (0.3208, 0.2003, 0.4598), O at (0.4281, 0.1967, 0.0448) and O at (0.4741, 0.2191, 0.6891).

Its density is 2.6 g/cm3. The value obtained for the uncorrected energy is -133.44 eV per cell. Its crystal system is monoclinic.